(1)
Material: TiZnNi2
Method: DFT, GGA-PBEsol
State: relaxed

Its total energy is -5.919 eV per atom. For the formation enthalpy at 0 K, the calculation gives -0.3641 eV/atom.

The structure belongs to space group P4/mmm (No. 123); the cell edges are 2.9813, 2.9813 and 5.5496 Å and the angles 90.00°, 90.00° and 90.00°. The inequivalent atoms are Ti at (0.0000, 0.0000, 0.0000), Zn at (0.0000, 0.0000, 0.5000) and Ni at (0.5000, 0.5000, 0.2493).

=====

(2)
Material: TiZn2Ni
Method: DFT, GGA-PBEsol
State: relaxed

Its total energy is -4.656 eV per atom. For the formation enthalpy at 0 K, the calculation gives -0.2448 eV/atom.

The structure belongs to space group Fm-3m (No. 225); the cell edges are 5.9159, 5.9159 and 5.9159 Å and the angles 90.00°, 90.00° and 90.00°. The inequivalent atoms are Ti at (0.0000, 0.0000, 0.0000), Zn at (0.2500, 0.2500, 0.2500) and Ni at (0.0000, 0.0000, 0.5000).

=====

(3)
Material: ZrTi2Ni9
Method: DFT, GGA-PBEsol
State: relaxed

Its total energy is -7.248 eV per atom. For the formation enthalpy at 0 K, the calculation gives -0.4857 eV/atom.

The structure belongs to space group R3m (No. 160, hexagonal axes); the cell edges are 5.0966, 5.0966 and 18.7159 Å and the angles 90.00°, 90.00° and 120.00°. The inequivalent atoms are Zr at (0.0000, 0.0000, 0.0000), Ti at (0.0000, 0.0000, 0.2200), Ti at (0.0000, 0.0000, 0.4380), Ni at (0.0067, 0.5033, 0.2180), Ni at (0.0152, 0.5076, 0.4447) and Ni at (0.1728, 0.3456, 0.3302).

=====

(4)
Material: ZrTi2Ni2
Method: DFT, GGA-PBEsol
State: relaxed

Its total energy is -7.897 eV per atom. For the formation enthalpy at 0 K, the calculation gives -0.2875 eV/atom.

The structure belongs to space group P4/mbm (No. 127); the cell edges are 7.0762, 7.0762 and 2.9830 Å and the angles 90.00°, 90.00° and 90.00°. The inequivalent atoms are Zr at (0.0000, 0.0000, 0.0000), Ti at (0.1632, 0.3368, 0.5000) and Ni at (0.1252, 0.6252, 0.0000).

=====

(5)
Material: ZrTi2Ni9
Method: DFT, GGA-PBEsol
State: relaxed

Its total energy is -7.246 eV per atom. For the formation enthalpy at 0 K, the calculation gives -0.4838 eV/atom.

The structure belongs to space group R-3m (No. 166, hexagonal axes); the cell edges are 5.0967, 5.0967 and 18.7191 Å and the angles 90.00°, 90.00° and 120.00°. The inequivalent atoms are Zr at (0.0000, 0.0000, 0.0000), Ti at (0.0000, 0.0000, 0.2191), Ni at (0.0000, 0.5000, 0.0000) and Ni at (0.0147, 0.5073, 0.2212).

=====

(6)
Material: TlNi
Method: DFT, GGA-PBEsol
State: relaxed

Its total energy is -3.803 eV per atom. For the formation enthalpy at 0 K, the calculation gives 0.5906 eV/atom.

The structure belongs to space group Fd-3m (No. 227, origin choice 2); the cell edges are 6.4853, 6.4853 and 6.4853 Å and the angles 90.00°, 90.00° and 90.00°. The inequivalent atoms are Tl at (0.1250, 0.1250, 0.1250) and Ni at (0.1250, 0.1250, 0.6250).

=====

Question: Which formula does entry 6 have?
Answer: TlNi

=====

Question: What is the formation enthalpy at 0 K in the second record?
Answer: -0.2448 eV/atom

=====

Copy entry 3 word for word.
Material: ZrTi2Ni9
Method: DFT, GGA-PBEsol
State: relaxed

Its total energy is -7.248 eV per atom. For the formation enthalpy at 0 K, the calculation gives -0.4857 eV/atom.

The structure belongs to space group R3m (No. 160, hexagonal axes); the cell edges are 5.0966, 5.0966 and 18.7159 Å and the angles 90.00°, 90.00° and 120.00°. The inequivalent atoms are Zr at (0.0000, 0.0000, 0.0000), Ti at (0.0000, 0.0000, 0.2200), Ti at (0.0000, 0.0000, 0.4380), Ni at (0.0067, 0.5033, 0.2180), Ni at (0.0152, 0.5076, 0.4447) and Ni at (0.1728, 0.3456, 0.3302).

=====

What did the fourth record say?
Material: ZrTi2Ni2
Method: DFT, GGA-PBEsol
State: relaxed

Its total energy is -7.897 eV per atom. For the formation enthalpy at 0 K, the calculation gives -0.2875 eV/atom.

The structure belongs to space group P4/mbm (No. 127); the cell edges are 7.0762, 7.0762 and 2.9830 Å and the angles 90.00°, 90.00° and 90.00°. The inequivalent atoms are Zr at (0.0000, 0.0000, 0.0000), Ti at (0.1632, 0.3368, 0.5000) and Ni at (0.1252, 0.6252, 0.0000).